This record from Alexandria describes an optimized crystal structure of Ca2CdGe3Pt4. The functional is PBE.

Density of states at the Fermi level (states/eV per atom): 0.581
Crystal system: tetragonal
Magnetic moment (μB per formula unit): 0.000

a = 4.287 Å, b = 4.287 Å, c = 10.842 Å
α = 90.00°, β = 90.00°, γ = 90.00°
Space group P-4m2 (No. 115)
Symmetry-distinct sites (fractional):
Ca 0.000 0.500 0.245 x2
Cd 0.000 0.000 0.500 x1
Ge 0.000 0.500 0.874 x2
Ge 0.500 0.500 0.500 x1
Pt 0.000 0.000 0.000 x1
Pt 0.000 0.500 0.651 x2
Pt 0.500 0.500 0.000 x1

This record from Alexandria describes an optimized crystal structure of Ho2Tm2In. The functional is PBE.

Density of states at the Fermi level (states/eV per atom): 1.570
Crystal system: monoclinic
Magnetic moment (μB per formula unit): 0.000

a = 12.377 Å, b = 3.751 Å, c = 8.619 Å
α = 90.00°, β = 132.85°, γ = 90.00°
Space group C2/m (No. 12)
Symmetry-distinct sites (fractional):
Ho 0.085 0.000 0.377 x4
Tm 0.231 0.500 0.822 x4
In 0.000 0.500 0.000 x2

This record from Alexandria describes an optimized crystal structure of AcNd7Sm3. The functional is PBE.

Density of states at the Fermi level (states/eV per atom): 1.501
Crystal system: trigonal
Magnetic moment (μB per formula unit): 0.000

a = 7.3290 Å, b = 7.3290 Å, c = 8.8404 Å
α = 90.00°, β = 90.00°, γ = 120.00°
Space group P3m1 (No. 156)
Symmetry-distinct sites (fractional):
Ac 0.0000 0.0000 0.0000 x1
Nd 0.0007 0.5003 0.9890 x3
Nd 0.3333 0.6667 0.3198 x1
Nd 0.3347 0.1673 0.3339 x3
Sm 0.1680 0.3359 0.6572 x3

| no. | formation energy from the elements (meV per atom) | E (eV for the cell shown) |
| --- | --- | --- |
| 1 | -729.7 | -50.231 |
| 2 | -152.6 | -43.200 |
| 3 | 185.4 | -49.601 |